## Pr6AlTl (PBE-GGA)

Data for crystalline Pr6AlTl at its relaxed geometry.

Summary:
Formation energy from the elements   -0.012 eV per atom
Energy relative to the lowest polymorph listed for this composition   0.1757 eV per atom

Lattice parameters (Å, degrees): 6.4214 12.0033 6.7057 90.00 90.84 90.00
Closest atoms and distances in Å follow each position.
Positions (direct):
1 Pr 0.0404 0.0000 0.2429  6 Pr 3.29-3.53, 1 Al 3.39, 1 Tl 3.40
2 Pr 0.1654 0.2855 0.2411  1 Al 3.21, 1 Tl 3.29, 5 Pr 3.32-3.53
3 Pr 0.1654 0.7145 0.2411  1 Al 3.21, 1 Tl 3.29, 5 Pr 3.32-3.53
4 Pr 0.3346 0.2145 0.7589  1 Al 3.21, 1 Tl 3.29, 5 Pr 3.32-3.53
5 Pr 0.3346 0.7855 0.7589  1 Al 3.21, 1 Tl 3.29, 5 Pr 3.32-3.53
6 Pr 0.4596 0.5000 0.7571  6 Pr 3.29-3.53, 1 Al 3.39, 1 Tl 3.40
7 Pr 0.5404 0.5000 0.2429  6 Pr 3.29-3.53, 1 Al 3.39, 1 Tl 3.40
8 Pr 0.6654 0.2145 0.2411  1 Al 3.21, 1 Tl 3.29, 5 Pr 3.32-3.53
9 Pr 0.6654 0.7855 0.2411  1 Al 3.21, 1 Tl 3.29, 5 Pr 3.32-3.53
10 Pr 0.8346 0.2855 0.7589  1 Al 3.21, 1 Tl 3.29, 5 Pr 3.32-3.53
11 Pr 0.8346 0.7145 0.7589  1 Al 3.21, 1 Tl 3.29, 5 Pr 3.32-3.53
12 Pr 0.9596 0.0000 0.7571  6 Pr 3.29-3.53, 1 Al 3.39, 1 Tl 3.40
13 Al 0.0000 0.5000 0.0000  6 Pr 3.21-3.39, 2 Tl 3.35
14 Al 0.5000 0.0000 0.0000  6 Pr 3.21-3.39, 2 Tl 3.35
15 Tl 0.0000 0.5000 0.5000  6 Pr 3.29-3.40, 2 Al 3.35
16 Tl 0.5000 0.0000 0.5000  6 Pr 3.29-3.40, 2 Al 3.35



## MgAgAu3 (PBE-GGA)

Data for crystalline MgAgAu3 at its relaxed geometry.

Summary:
Formation energy from the elements   0.475 eV per atom
Energy relative to the lowest polymorph listed for this composition   0.6249 eV per atom

Lattice parameters (Å, degrees): 4.9120 4.9120 4.9120 90.00 90.00 90.00
Closest atoms and distances in Å follow each position.
Positions (direct):
1 Mg 0.0000 0.0000 0.0000  6 Au 2.46
2 Ag 0.5000 0.5000 0.5000  12 Au 3.47
3 Au 0.0000 0.0000 0.5000  2 Mg 2.46
4 Au 0.0000 0.5000 0.0000  2 Mg 2.46
5 Au 0.5000 0.0000 0.0000  2 Mg 2.46



## Li6Ag12Ge (PBE-GGA)

Data for crystalline Li6Ag12Ge at its relaxed geometry.

Summary:
Formation energy from the elements   -0.112 eV per atom

Lattice parameters (Å, degrees): 6.8758 6.8758 6.8758 89.68 89.68 89.68
Closest atoms and distances in Å follow each position.
Positions (direct):
1 Li 0.2293 0.3880 0.7685  1 Ge 2.73, 7 Ag 2.73-2.92, 2 Li 2.84
2 Li 0.2315 0.7707 0.6120  1 Ge 2.73, 7 Ag 2.73-2.92, 2 Li 2.84
3 Li 0.3880 0.7685 0.2293  1 Ge 2.73, 7 Ag 2.73-2.92, 2 Li 2.84
4 Li 0.6120 0.2315 0.7707  1 Ge 2.73, 7 Ag 2.73-2.92, 2 Li 2.84
5 Li 0.7685 0.2293 0.3880  1 Ge 2.73, 7 Ag 2.73-2.92, 2 Li 2.84
6 Li 0.7707 0.6120 0.2315  1 Ge 2.73, 7 Ag 2.73-2.92, 2 Li 2.84
7 Ag 0.0285 0.9409 0.3015  4 Li 2.73-2.92, 5 Ag 2.83-3.01
8 Ag 0.0591 0.6985 0.9715  4 Li 2.73-2.92, 5 Ag 2.83-3.01
9 Ag 0.1327 0.4800 0.3438  1 Ge 2.75, 5 Li 2.76-3.06, 5 Ag 2.82-3.01
10 Ag 0.3015 0.0285 0.9409  4 Li 2.73-2.92, 5 Ag 2.83-3.01
11 Ag 0.3438 0.1327 0.4800  1 Ge 2.75, 5 Li 2.76-3.06, 5 Ag 2.82-3.01
12 Ag 0.4800 0.3438 0.1327  1 Ge 2.75, 5 Li 2.76-3.06, 5 Ag 2.82-3.01
13 Ag 0.5200 0.6562 0.8673  1 Ge 2.75, 5 Li 2.76-3.06, 5 Ag 2.82-3.01
14 Ag 0.6562 0.8673 0.5200  1 Ge 2.75, 5 Li 2.76-3.06, 5 Ag 2.82-3.01
15 Ag 0.6985 0.9715 0.0591  4 Li 2.73-2.92, 5 Ag 2.83-3.01
16 Ag 0.8673 0.5200 0.6562  1 Ge 2.75, 5 Li 2.76-3.06, 5 Ag 2.82-3.01
17 Ag 0.9409 0.3015 0.0285  4 Li 2.73-2.92, 5 Ag 2.83-3.01
18 Ag 0.9715 0.0591 0.6985  4 Li 2.73-2.92, 5 Ag 2.83-3.01
19 Ge 0.5000 0.5000 0.5000  6 Li 2.73, 6 Ag 2.75



## Rb4ScIr2 (PBE-GGA)

Data for crystalline Rb4ScIr2 at its relaxed geometry.

Summary:
Formation energy from the elements   1.266 eV per atom

Lattice parameters (Å, degrees): 6.6654 6.6654 16.6499 90.00 90.00 90.00
Closest atoms and distances in Å follow each position.
Positions (direct):
1 Rb 0.0000 0.0000 0.2288  1 Ir 3.35
2 Rb 0.0000 0.0000 0.7712  1 Ir 3.35
3 Rb 0.0000 0.5000 0.0000  2 Sc 3.33, 4 Ir 3.53
4 Rb 0.0000 0.5000 0.5000  2 Sc 3.33, 4 Ir 3.53
5 Rb 0.5000 0.0000 0.0000  2 Sc 3.33, 4 Ir 3.53
6 Rb 0.5000 0.0000 0.5000  2 Sc 3.33, 4 Ir 3.53
7 Rb 0.5000 0.5000 0.2712  1 Ir 3.35
8 Rb 0.5000 0.5000 0.7288  1 Ir 3.35
9 Sc 0.0000 0.0000 0.0000  4 Rb 3.33
10 Sc 0.5000 0.5000 0.5000  4 Rb 3.33
11 Ir 0.0000 0.0000 0.4298  1 Ir 2.34
12 Ir 0.0000 0.0000 0.5702  1 Ir 2.34
13 Ir 0.5000 0.5000 0.0702  1 Ir 2.34
14 Ir 0.5000 0.5000 0.9298  1 Ir 2.34



## ErTmGa2 (PBE-GGA)

Data for crystalline ErTmGa2 at its relaxed geometry.

Summary:
Formation energy from the elements   -0.575 eV per atom

Lattice parameters (Å, degrees): 3.5321 3.5321 7.0622 90.00 90.00 90.00
Closest atoms and distances in Å follow each position.
Positions (direct):
1 Er 0.0000 0.0000 0.0000  8 Ga 3.07
2 Tm 0.0000 0.0000 0.5000  8 Ga 3.05
3 Ga 0.5000 0.5000 0.2518  4 Tm 3.05, 4 Er 3.07
4 Ga 0.5000 0.5000 0.7482  4 Tm 3.05, 4 Er 3.07



## Mg16Al12W (PBE-GGA)

Data for crystalline Mg16Al12W at its relaxed geometry.

Summary:
Formation energy from the elements   0.027 eV per atom

Lattice parameters (Å, degrees): 8.9431 8.9431 8.9431 108.48 108.48 108.48
Closest atoms and distances in Å follow each position.
Positions (direct):
1 Mg 0.0000 0.0000 0.0000  1 W 2.77, 3 Al 3.06
2 Mg 0.0119 0.4125 0.6898  5 Al 2.88-3.11, 4 Mg 3.04-3.19
3 Mg 0.0119 0.6898 0.4125  5 Al 2.88-3.11, 4 Mg 3.04-3.19
4 Mg 0.0165 0.0165 0.6604  4 Mg 2.99-3.13, 6 Al 3.07-3.14
5 Mg 0.0165 0.6604 0.0165  4 Mg 2.99-3.13, 6 Al 3.07-3.14
6 Mg 0.3117 0.5923 0.5923  5 Al 2.95-3.15, 4 Mg 2.97-3.19, 1 W 3.03
7 Mg 0.3286 0.3286 0.7233  7 Mg 2.97-3.10, 5 Al 2.99-3.14
8 Mg 0.3286 0.7233 0.3286  7 Mg 2.97-3.10, 5 Al 2.99-3.14
9 Mg 0.4125 0.0119 0.6898  5 Al 2.88-3.11, 4 Mg 3.04-3.19
10 Mg 0.4125 0.6898 0.0119  5 Al 2.88-3.11, 4 Mg 3.04-3.19
11 Mg 0.5923 0.3117 0.5923  5 Al 2.95-3.15, 4 Mg 2.97-3.19, 1 W 3.03
12 Mg 0.5923 0.5923 0.3117  5 Al 2.95-3.15, 4 Mg 2.97-3.19, 1 W 3.03
13 Mg 0.6604 0.0165 0.0165  4 Mg 2.99-3.13, 6 Al 3.07-3.14
14 Mg 0.6898 0.0119 0.4125  5 Al 2.88-3.11, 4 Mg 3.04-3.19
15 Mg 0.6898 0.4125 0.0119  5 Al 2.88-3.11, 4 Mg 3.04-3.19
16 Mg 0.7233 0.3286 0.3286  7 Mg 2.97-3.10, 5 Al 2.99-3.14
17 Al 0.0110 0.1932 0.3738  3 Al 2.62-2.80, 1 W 2.80, 1 Mg 2.88
18 Al 0.0110 0.3738 0.1932  3 Al 2.62-2.80, 1 W 2.80, 1 Mg 2.88
19 Al 0.1932 0.0110 0.3738  3 Al 2.62-2.80, 1 W 2.80, 1 Mg 2.88
20 Al 0.1932 0.3738 0.0110  3 Al 2.62-2.80, 1 W 2.80, 1 Mg 2.88
21 Al 0.2039 0.8206 0.8206  3 Al 2.67-2.80, 2 Mg 2.90
22 Al 0.3738 0.0110 0.1932  3 Al 2.62-2.80, 1 W 2.80, 1 Mg 2.88
23 Al 0.3738 0.1932 0.0110  3 Al 2.62-2.80, 1 W 2.80, 1 Mg 2.88
24 Al 0.6583 0.6583 0.8480  3 Al 2.67-2.75, 3 Mg 2.95-2.99
25 Al 0.6583 0.8480 0.6583  3 Al 2.67-2.75, 3 Mg 2.95-2.99
26 Al 0.8206 0.2039 0.8206  3 Al 2.67-2.80, 2 Mg 2.90
27 Al 0.8206 0.8206 0.2039  3 Al 2.67-2.80, 2 Mg 2.90
28 Al 0.8480 0.6583 0.6583  3 Al 2.67-2.75, 3 Mg 2.95-2.99
29 W 0.2955 0.2955 0.2955  4 Mg 2.77-3.03, 6 Al 2.80



## Ho4GePtSe2 (PBE-GGA)

Data for crystalline Ho4GePtSe2 at its relaxed geometry.

Summary:
E_tot   -5.884 eV per atom

Lattice parameters (Å, degrees): 6.9848 4.0715 7.2961 90.00 109.02 90.00
Closest atoms and distances in Å follow each position.
Positions (direct):
1 Ho 0.2403 0.0000 0.2343  2 Pt 2.83, 1 Ge 2.87, 3 Se 2.95-2.98
2 Ho 0.2537 0.5000 0.7611  2 Ge 2.86, 1 Pt 2.86, 3 Se 2.95
3 Ho 0.7463 0.5000 0.2389  2 Ge 2.86, 1 Pt 2.86, 3 Se 2.95
4 Ho 0.7597 0.0000 0.7657  2 Pt 2.83, 1 Ge 2.87, 3 Se 2.95-2.98
5 Ge 0.5000 0.0000 0.0000  6 Ho 2.86-2.87
6 Pt 0.0000 0.5000 0.0000  6 Ho 2.83-2.86
7 Se 0.0000 0.0000 0.5000  6 Ho 2.95
8 Se 0.5000 0.5000 0.5000  6 Ho 2.95-2.98



## SmGdC2 (PBE-GGA)

Data for crystalline SmGdC2 at its relaxed geometry.

Summary:
Formation energy from the elements   0.176 eV per atom

Lattice parameters (Å, degrees): 3.6756 3.6756 18.0090 90.00 90.00 120.00
Closest atoms and distances in Å follow each position.
Positions (direct):
1 Sm 0.0000 0.0000 0.0000  6 C 2.62
2 Sm 0.3333 0.6667 0.6667  6 C 2.62
3 Sm 0.6667 0.3333 0.3333  6 C 2.62
4 Gd 0.0000 0.0000 0.5000  6 C 2.57
5 Gd 0.3333 0.6667 0.1667  6 C 2.57
6 Gd 0.6667 0.3333 0.8333  6 C 2.57
7 C 0.0000 0.0000 0.2476  3 Gd 2.57, 3 Sm 2.62
8 C 0.0000 0.0000 0.7524  3 Gd 2.57, 3 Sm 2.62
9 C 0.3333 0.6667 0.4191  3 Gd 2.57, 3 Sm 2.62
10 C 0.3333 0.6667 0.9143  3 Gd 2.57, 3 Sm 2.62
11 C 0.6667 0.3333 0.0857  3 Gd 2.57, 3 Sm 2.62
12 C 0.6667 0.3333 0.5809  3 Gd 2.57, 3 Sm 2.62



Which formula does entry 6 have?
Mg16Al12W



Copy entry 7 word for word.
## Ho4GePtSe2 (PBE-GGA)

Data for crystalline Ho4GePtSe2 at its relaxed geometry.

Summary:
E_tot   -5.884 eV per atom

Lattice parameters (Å, degrees): 6.9848 4.0715 7.2961 90.00 109.02 90.00
Closest atoms and distances in Å follow each position.
Positions (direct):
1 Ho 0.2403 0.0000 0.2343  2 Pt 2.83, 1 Ge 2.87, 3 Se 2.95-2.98
2 Ho 0.2537 0.5000 0.7611  2 Ge 2.86, 1 Pt 2.86, 3 Se 2.95
3 Ho 0.7463 0.5000 0.2389  2 Ge 2.86, 1 Pt 2.86, 3 Se 2.95
4 Ho 0.7597 0.0000 0.7657  2 Pt 2.83, 1 Ge 2.87, 3 Se 2.95-2.98
5 Ge 0.5000 0.0000 0.0000  6 Ho 2.86-2.87
6 Pt 0.0000 0.5000 0.0000  6 Ho 2.83-2.86
7 Se 0.0000 0.0000 0.5000  6 Ho 2.95
8 Se 0.5000 0.5000 0.5000  6 Ho 2.95-2.98